A plane-wave DFT calculation with PBE-GGA was carried out for a geometry-optimized GdMgAlZn structure.

```
GdMgAlZn
1.0
-0.206 2.047 4.467
0.847 -2.734 4.000
4.125 0.655 2.598
Mg Zn Gd Al
1 1 1 1
Direct
0.250 0.250 0.250 Mg
0.000 0.000 0.000 Zn
0.750 0.750 0.750 Gd
0.500 0.500 0.500 Al
```

Calculated values
Formation energy (eV per atom): -0.286
Symmetry: F-43m (216)

***

A plane-wave DFT calculation with PBE-GGA was carried out for a geometry-optimized Na8Cd structure.

```
Na8Cd
1.0
-3.946 -0.407 3.087
0.667 -7.058 4.014
2.036 3.357 7.138
Na Cd
8 1
Direct
0.343 0.000 0.313 Na
0.657 0.000 0.687 Na
0.657 0.687 0.000 Na
0.000 0.675 0.325 Na
0.325 0.675 0.675 Na
0.675 0.325 0.325 Na
0.000 0.325 0.675 Na
0.343 0.313 0.000 Na
0.000 0.000 0.000 Cd
```

Calculated values
Formation energy (eV per atom): -0.009
Symmetry: I4/mmm (139)

***

A plane-wave DFT calculation with PBE-GGA was carried out for a geometry-optimized TlHgPd5 structure.

```
TlHgPd5
1.0
3.970 0.000 0.000
0.000 3.970 0.000
0.000 0.000 8.208
Tl Hg Pd
1 1 5
Direct
0.500 0.500 0.000 Tl
0.000 0.000 0.500 Hg
0.000 0.500 0.755 Pd
0.000 0.500 0.245 Pd
0.500 0.000 0.755 Pd
0.500 0.000 0.245 Pd
0.500 0.500 0.500 Pd
```

Calculated values
Formation energy (eV per atom): -0.071
Polymorph energy (0 for the lowest one) (eV per atom): 0.000
Symmetry: P4/mmm (123)

***

A plane-wave DFT calculation with PBE-GGA was carried out for a geometry-optimized ReTeMo2 structure.

```
ReTeMo2
1.0
4.599 0.000 0.000
0.000 3.843 0.000
0.000 0.000 3.843
Mo Re Te
2 1 1
Direct
0.000 0.000 0.000 Mo
0.000 0.500 0.500 Mo
0.500 0.500 0.000 Re
0.500 0.000 0.500 Te
```

Calculated values
Energy relative to the elements, uncorrected (kJ/mol of formula units): 277
Symmetry: P4/mmm (123)

***

A plane-wave DFT calculation with PBE-GGA was carried out for a geometry-optimized SrHoHgGe structure.

```
SrHoHgGe
1.0
-3.300 -3.851 1.640
1.197 -5.110 -0.929
1.414 -3.182 4.035
Sr Ge Hg Ho
1 1 1 1
Direct
0.500 0.500 0.500 Sr
0.250 0.250 0.250 Ge
0.750 0.750 0.750 Hg
0.000 0.000 0.000 Ho
```

Calculated values
Formation energy (eV per atom): -0.466
Symmetry: F-43m (216)

***

A plane-wave DFT calculation with PBE-GGA was carried out for a geometry-optimized Cs2CrMoBr6 structure.

```
Cs2CrMoBr6
1.0
-2.245 0.531 7.344
-6.303 -4.108 -1.629
-1.576 -6.387 4.015
Cs Cr Mo Br
2 1 1 6
Direct
0.750 0.250 0.500 Cs
0.250 0.750 0.500 Cs
0.500 0.500 0.000 Cr
0.000 0.000 0.000 Mo
0.247 0.247 0.507 Br
0.753 0.753 0.493 Br
0.248 0.248 0.000 Br
0.752 0.752 0.000 Br
0.752 0.248 0.000 Br
0.248 0.752 0.000 Br
```

Calculated values
Energy relative to the elements, uncorrected (kJ/mol of formula units): -912
Symmetry: I4/mmm (139)

***

A plane-wave DFT calculation with PBE-GGA was carried out for a geometry-optimized La4GaRuBr2 structure.

```
La4GaRuBr2
1.0
-2.224 3.299 -1.403
-6.876 -3.439 2.810
-0.997 2.368 7.149
La Ga Ru Br
4 1 1 2
Direct
0.000 0.703 0.732 La
0.000 0.297 0.268 La
0.500 0.701 0.273 La
0.500 0.299 0.727 La
0.500 0.500 0.000 Ga
0.000 0.500 0.500 Ru
0.000 0.000 0.000 Br
0.500 0.000 0.500 Br
```

Calculated values
Energy relative to the elements, uncorrected (kJ/mol of formula units): -730
Symmetry: P2/m (10)

***

A plane-wave DFT calculation with PBE-GGA was carried out for a geometry-optimized Ho2ThCu3 structure.

```
Ho2ThCu3
1.0
3.451 0.000 0.000
0.000 3.451 0.000
0.000 0.000 10.714
Ho Th Cu
2 1 3
Direct
0.500 0.500 0.839 Ho
0.500 0.500 0.161 Ho
0.500 0.500 0.500 Th
0.000 0.000 0.000 Cu
0.000 0.000 0.682 Cu
0.000 0.000 0.318 Cu
```

Calculated values
Formation energy (eV per atom): -0.193
Symmetry: P4/mmm (123)

***

A plane-wave DFT calculation with PBE-GGA was carried out for a geometry-optimized Mg3ReN4 structure.

```
Mg3ReN4
1.0
5.342 0.000 0.000
0.000 5.860 0.000
0.000 0.000 6.763
Mg Re N
6 2 8
Direct
0.510 0.841 0.000 Mg
0.009 0.667 0.248 Mg
0.509 0.333 0.252 Mg
0.010 0.159 0.500 Mg
0.509 0.333 0.748 Mg
0.009 0.667 0.752 Mg
0.003 0.169 0.000 Re
0.503 0.831 0.500 Re
0.110 0.863 0.000 N
0.652 0.176 0.000 N
0.111 0.321 0.230 N
0.611 0.679 0.270 N
0.152 0.824 0.500 N
0.610 0.137 0.500 N
0.611 0.679 0.730 N
0.111 0.321 0.770 N
```

Calculated values
Energy relative to the elements, uncorrected (kJ/mol of formula units): -462
Symmetry: Pmn2_1 (31)

***

A plane-wave DFT calculation with PBE-GGA was carried out for a geometry-optimized H2Ir2Pd structure.

```
H2Ir2Pd
1.0
-3.963 0.882 -3.319
-3.021 -3.303 2.730
-1.207 2.943 2.224
H Ir Pd
4 4 2
Direct
0.168 0.668 0.000 H
0.668 0.832 0.000 H
0.832 0.332 0.000 H
0.332 0.168 0.000 H
0.185 0.685 0.500 Ir
0.685 0.815 0.500 Ir
0.815 0.315 0.500 Ir
0.315 0.185 0.500 Ir
0.000 0.000 0.000 Pd
0.500 0.500 0.000 Pd
```

Calculated values
Polymorph energy (0 for the lowest one) (eV per atom): 0.000
Symmetry: P4/mbm (127)

***

A plane-wave DFT calculation with PBE-GGA was carried out for a geometry-optimized SiOsBr structure.

```
SiOsBr
1.0
-3.699 4.084 -4.102
-5.809 3.665 0.139
6.211 -2.003 2.146
Br Os Si
1 1 1
Direct
0.969 0.969 0.000 Br
0.781 0.781 0.000 Os
0.250 0.250 0.000 Si
```

Calculated values
Energy relative to the elements, uncorrected (kJ/mol of formula units): 83
Polymorph energy (0 for the lowest one) (eV per atom): 0.000
Symmetry: Imm2 (44)

***

A plane-wave DFT calculation with PBE-GGA was carried out for a geometry-optimized CdIr2 structure.

```
CdIr2
1.0
-1.013 0.351 5.138
-0.046 -2.243 4.745
6.307 1.847 3.325
Cd Ir
2 4
Direct
0.164 0.164 0.881 Cd
0.836 0.836 0.119 Cd
0.544 0.544 0.239 Ir
0.141 0.141 0.486 Ir
0.859 0.859 0.514 Ir
0.456 0.456 0.761 Ir
```

Calculated values
Formation energy (eV per atom): 0.216
Symmetry: C2/m (12)

***

A plane-wave DFT calculation with PBE-GGA was carried out for a geometry-optimized Ca8Au structure.

```
Ca8Au
1.0
-4.975 -6.878 3.617
6.277 6.757 0.292
-7.068 5.921 0.363
Ca Au
8 1
Direct
0.356 0.644 0.000 Ca
0.644 0.356 0.000 Ca
0.000 0.335 0.335 Ca
0.644 0.644 0.288 Ca
0.335 0.000 0.335 Ca
0.356 0.356 0.712 Ca
0.000 0.665 0.665 Ca
0.665 0.000 0.665 Ca
0.000 0.000 0.000 Au
```

Calculated values
Formation energy (eV per atom): -0.110
Symmetry: I4/mmm (139)

***

A plane-wave DFT calculation with PBE-GGA was carried out for a geometry-optimized HoCo12 structure.

```
HoCo12
1.0
-2.862 1.578 -3.322
-5.864 0.712 2.122
-0.205 6.272 -0.113
Ho Co
1 12
Direct
0.000 0.000 0.000 Ho
0.500 0.000 0.500 Co
0.000 0.000 0.500 Co
0.500 0.500 0.000 Co
0.000 0.500 0.000 Co
0.000 0.642 0.358 Co
0.000 0.358 0.642 Co
0.642 0.358 0.358 Co
0.358 0.642 0.642 Co
0.500 0.225 0.775 Co
0.500 0.775 0.225 Co
0.725 0.775 0.775 Co
0.275 0.225 0.225 Co
```

Calculated values
Formation energy (eV per atom): -0.063
Symmetry: I4/mmm (139)

***

A plane-wave DFT calculation with PBE-GGA was carried out for a geometry-optimized Tm4AsHC2 structure.

```
Tm4AsHC2
1.0
-0.002 1.330 3.447
2.970 -5.508 0.146
10.771 5.750 -2.213
Tm As H C
8 2 2 4
Direct
0.263 0.527 0.107 Tm
0.737 0.473 0.607 Tm
0.737 0.473 0.893 Tm
0.263 0.527 0.393 Tm
0.000 0.000 0.500 Tm
0.000 0.000 0.000 Tm
0.433 0.866 0.750 Tm
0.567 0.134 0.250 Tm
0.113 0.226 0.750 As
0.887 0.774 0.250 As
0.843 0.686 0.750 H
0.157 0.314 0.250 H
0.366 0.732 0.560 C
0.634 0.268 0.060 C
0.634 0.268 0.440 C
0.366 0.732 0.940 C
```

Calculated values
Symmetry: Cmcm (63)
Electronic total energy (eV/atom): -6.30

***

A plane-wave DFT calculation with PBE-GGA was carried out for a geometry-optimized Sb2AsS structure.

```
Sb2AsS
1.0
7.447 0.000 0.000
0.000 7.447 0.000
3.724 3.724 3.691
Sb As S
4 2 2
Direct
0.623 0.125 0.250 Sb
0.127 0.625 0.250 Sb
0.375 0.377 0.750 Sb
0.875 0.873 0.750 Sb
0.000 0.000 0.000 As
0.750 0.250 0.500 As
0.500 0.500 0.000 S
0.250 0.750 0.500 S
```

Calculated values
Energy relative to the elements, uncorrected (kJ/mol of formula units): 72
Polymorph energy (0 for the lowest one) (eV per atom): 0.146
Symmetry: I-42d (122)

***

A plane-wave DFT calculation with PBE-GGA was carried out for a geometry-optimized Ba2AgRhC structure.

```
Ba2AgRhC
1.0
-0.436 3.545 4.729
1.394 -4.546 3.536
3.790 0.906 -0.329
C Rh Ba Ag
1 1 2 1
Direct
0.000 0.000 0.000 C
0.000 0.000 0.500 Rh
0.000 0.500 0.000 Ba
0.500 0.000 0.000 Ba
0.500 0.500 0.500 Ag
```

Calculated values
Formation energy (eV per atom): -0.056
Symmetry: P4/mmm (123)

***

A plane-wave DFT calculation with PBE-GGA was carried out for a geometry-optimized LiNdTmBe structure.

```
LiNdTmBe
1.0
5.036 0.000 0.000
2.518 4.361 0.000
2.518 1.454 4.112
Be Tm Nd Li
1 1 1 1
Direct
0.500 0.500 0.500 Be
0.250 0.250 0.250 Tm
0.750 0.750 0.750 Nd
0.000 0.000 0.000 Li
```

Calculated values
Formation energy (eV per atom): 0.152
Symmetry: F-43m (216)

***

A plane-wave DFT calculation with PBE-GGA was carried out for a geometry-optimized PuPaGaPd structure.

```
PuPaGaPd
1.0
4.869 0.000 0.000
2.434 4.217 0.000
2.434 1.406 3.976
Pa Ga Pd Pu
1 1 1 1
Direct
0.500 0.500 0.500 Pa
0.000 0.000 0.000 Ga
0.750 0.750 0.750 Pd
0.250 0.250 0.250 Pu
```

Calculated values
Formation energy (eV per atom): -0.329
Polymorph energy (0 for the lowest one) (eV per atom): 0.000
Symmetry: F-43m (216)

***

A plane-wave DFT calculation with PBE-GGA was carried out for a geometry-optimized HoMgBe4 structure.

```
HoMgBe4
1.0
-3.233 2.338 -2.785
-4.377 1.145 1.792
-1.107 4.645 0.935
Be Mg Ho
4 1 1
Direct
0.621 0.621 0.137 Be
0.621 0.137 0.621 Be
0.621 0.621 0.621 Be
0.137 0.621 0.621 Be
0.000 0.000 0.000 Mg
0.250 0.250 0.250 Ho
```

Calculated values
Formation energy (eV per atom): 0.124
Symmetry: F-43m (216)